Compound: VCoPd
Source: the Alexandria database
Functional: GGA-PBE
Structure: relaxed

Values from the calculation:
- Fermi-level density of states: 5.856 states/eV/cell
- Calculated formation energy: -0.53 eV per formula unit

abc: 4.728 4.728 9.132
angles: 45.17 45.17 34.74
Atoms (fractional coordinates):
Co 0.890 0.890 0.966
V 0.716 0.716 0.761
V 0.284 0.284 0.239
Pd 0.446 0.446 0.388
Co 0.110 0.110 0.034
Pd 0.554 0.554 0.612

Compound: ZrAlMo
Source: the Alexandria database
Functional: GGA-PBE
Structure: relaxed

Values from the calculation:
- Fermi-level density of states: 3.917 states/eV/cell
- Calculated formation energy: 2.89 eV per formula unit

abc: 4.548 4.548 4.548
angles: 60.00 60.00 60.00
Atoms (fractional coordinates):
Zr 0.750 0.750 0.750
Al 0.000 0.000 0.000
Mo 0.500 0.500 0.500

Compound: ScPtW3
Source: the Alexandria database
Functional: GGA-PBE
Structure: relaxed

Values from the calculation:
- Fermi-level density of states: 5.311 states/eV/cell
- Calculated formation energy: 8.58 eV per formula unit

abc: 4.813 4.813 4.813
angles: 90.00 90.00 90.00
Atoms (fractional coordinates):
W 0.500 0.000 0.000
Sc 0.500 0.500 0.500
W 0.000 0.000 0.500
Pt 0.000 0.000 0.000
W 0.000 0.500 0.000

Compound: ThSiIr
Source: the Alexandria database
Functional: GGA-PBE
Structure: relaxed

Values from the calculation:
- E_form (uncorrected): -1008.8 meV/atom
- Fermi-level density of states: 6.336 states/eV/cell

abc: 4.316 7.534 12.032
angles: 108.24 100.33 90.00
Atoms (fractional coordinates):
Si 0.935 0.090 0.870
Ir 0.579 0.406 0.159
Th 0.000 0.522 0.000
Ir 0.746 0.911 0.492
Th 0.830 0.294 0.661
Th 0.170 0.633 0.339
Si 0.589 0.749 0.178
Si 0.227 0.059 0.455
Ir 0.254 0.420 0.508
Th 0.500 0.956 0.000
Si 0.411 0.571 0.822
Th 0.336 0.874 0.672
Ir 0.897 0.719 0.794
Si 0.065 0.220 0.130
Ir 0.103 0.925 0.206
Ir 0.421 0.248 0.841
Th 0.664 0.202 0.328
Si 0.773 0.604 0.545

Compound: TcPdS2Cl
Source: the Alexandria database
Functional: GGA-PBE
Structure: relaxed

Values from the calculation:
- E_form (uncorrected): 755.3 meV/atom
- Fermi-level density of states: 2.475 states/eV/cell

abc: 4.736 4.736 4.737
angles: 90.00 90.00 90.00
Atoms (fractional coordinates):
Tc 0.500 0.500 0.500
S 0.000 0.500 0.000
S 0.500 0.000 0.000
Cl 0.000 0.000 0.500
Pd 0.000 0.000 0.000

Compound: YTe2MoN
Source: the Alexandria database
Functional: GGA-PBE
Structure: relaxed

Values from the calculation:
- E_form (uncorrected): 812.7 meV/atom
- Fermi-level density of states: 3.251 states/eV/cell

abc: 5.915 5.915 4.152
angles: 90.00 90.00 90.00
Atoms (fractional coordinates):
N 0.000 0.000 0.500
Te 0.000 0.500 0.000
Mo 0.500 0.500 0.500
Y 0.000 0.000 0.000
Te 0.500 0.000 0.000

Compound: Sm3Tm12Sc
Source: the Alexandria database
Functional: GGA-PBE
Structure: relaxed

Values from the calculation:
- Fermi-level density of states: 22.247 states/eV/cell
- Calculated formation energy: 0.50 eV per formula unit

abc: 4.952 4.952 19.791
angles: 90.00 90.00 90.00
Atoms (fractional coordinates):
Sm 0.000 0.000 0.500
Tm 0.500 0.500 0.500
Tm 0.500 0.000 0.627
Tm 0.000 0.500 0.627
Tm 0.000 0.500 0.120
Tm 0.500 0.000 0.120
Tm 0.500 0.000 0.373
Tm 0.500 0.500 0.000
Tm 0.000 0.500 0.373
Sc 0.000 0.000 0.000
Tm 0.500 0.000 0.880
Tm 0.500 0.500 0.247
Sm 0.000 0.000 0.248
Tm 0.000 0.500 0.880
Sm 0.000 0.000 0.752
Tm 0.500 0.500 0.753

Compound: TbCeIrRh
Source: the Alexandria database
Functional: GGA-PBE
Structure: relaxed

Values from the calculation:
- Fermi-level density of states: 2.909 states/eV/cell
- Calculated formation energy: -3.29 eV per formula unit

abc: 3.858 4.158 5.731
angles: 90.00 109.67 90.00
Atoms (fractional coordinates):
Rh 0.594 0.500 0.188
Tb 0.139 0.000 0.278
Ce 0.858 0.500 0.715
Ir 0.409 0.000 0.819

Compound: GaFeMo2C
Source: the Alexandria database
Functional: GGA-PBE
Structure: relaxed

Values from the calculation:
- Fermi-level density of states: 3.893 states/eV/cell
- Calculated formation energy: 0.19 eV per formula unit

abc: 4.171 4.171 3.782
angles: 90.00 90.00 90.00
Atoms (fractional coordinates):
Mo 0.500 0.000 0.000
Ga 0.500 0.500 0.500
Mo 0.000 0.500 0.000
Fe 0.000 0.000 0.500
C 0.000 0.000 0.000

Compound: PaSbS4
Source: the Alexandria database
Functional: GGA-PBE
Structure: relaxed

Values from the calculation:
- E_form (uncorrected): -861.3 meV/atom

abc: 6.584 6.626 6.687
angles: 90.00 90.63 90.00
Atoms (fractional coordinates):
Sb 0.500 0.000 0.500
S 0.661 0.165 0.840
Pa 0.000 0.000 0.000
Pa 0.500 0.500 0.000
S 0.158 0.843 0.673
S 0.658 0.657 0.673
S 0.161 0.335 0.840
Sb 0.000 0.500 0.500
S 0.342 0.343 0.327
S 0.339 0.835 0.160
S 0.842 0.157 0.327
S 0.839 0.665 0.160

Compound: Ga3Sn5Cl12
Source: the Alexandria database
Functional: GGA-PBE
Structure: relaxed

Values from the calculation:
- E_form (uncorrected): -729.6 meV/atom
- Fermi-level density of states: 30.824 states/eV/cell

abc: 15.175 15.175 15.175
angles: 109.47 109.47 109.47
Atoms (fractional coordinates):
Sn 0.625 0.875 0.250
Cl 0.041 0.620 0.716
Ga 0.375 0.625 0.250
Cl 0.595 0.716 0.675
Cl 0.905 0.080 0.620
Cl 0.420 0.041 0.325
Sn 0.250 0.875 0.125
Cl 0.541 0.216 0.120
Sn 0.250 0.375 0.625
Cl 0.905 0.825 0.784
Cl 0.595 0.880 0.420
Cl 0.784 0.325 0.905
Cl 0.459 0.784 0.880
Cl 0.216 0.675 0.095
Sn 0.000 0.000 0.500
Sn 0.000 0.500 0.500
Ga 0.875 0.750 0.125
Sn 0.125 0.375 0.250
Sn 0.375 0.125 0.750
Cl 0.825 0.905 0.284
Cl 0.041 0.420 0.825
Cl 0.920 0.825 0.541
Cl 0.620 0.580 0.905
Ga 0.250 0.625 0.875
Cl 0.120 0.716 0.541
Cl 0.580 0.620 0.405
Sn 0.000 0.000 0.000
Sn 0.625 0.750 0.875
Cl 0.959 0.580 0.175
Cl 0.405 0.120 0.580
Ga 0.625 0.250 0.375
Ga 0.750 0.875 0.625
Cl 0.675 0.216 0.595
Sn 0.750 0.625 0.375
Cl 0.405 0.284 0.325
Sn 0.500 0.500 0.000
Cl 0.080 0.175 0.459
Cl 0.216 0.541 0.620
Sn 0.500 0.000 0.500
Cl 0.284 0.880 0.959
Sn 0.125 0.750 0.375
Sn 0.000 0.500 0.000
Cl 0.880 0.284 0.459
Sn 0.500 0.500 0.500
Sn 0.500 0.000 0.000
Cl 0.459 0.675 0.080
Ga 0.875 0.125 0.250
Cl 0.175 0.080 0.959
Cl 0.284 0.405 0.825
Ga 0.125 0.875 0.750
Ga 0.625 0.375 0.750
Sn 0.375 0.250 0.125
Cl 0.095 0.175 0.216
Cl 0.380 0.959 0.784
Ga 0.250 0.125 0.375
Cl 0.959 0.380 0.284
Sn 0.750 0.125 0.875
Ga 0.750 0.375 0.125
Cl 0.325 0.784 0.405
Cl 0.095 0.920 0.380
Cl 0.080 0.905 0.120
Cl 0.580 0.959 0.675
Cl 0.880 0.595 0.920
Cl 0.380 0.420 0.095
Sn 0.875 0.250 0.625
Cl 0.325 0.541 0.420
Cl 0.825 0.920 0.041
Sn 0.875 0.625 0.750
Cl 0.784 0.459 0.380
Cl 0.716 0.595 0.175
Cl 0.716 0.120 0.041
Ga 0.375 0.750 0.625
Cl 0.675 0.459 0.580
Ga 0.125 0.250 0.875
Cl 0.920 0.095 0.880
Cl 0.620 0.041 0.216
Cl 0.120 0.405 0.080
Cl 0.175 0.095 0.716
Cl 0.541 0.325 0.920
Cl 0.420 0.380 0.595

Compound: NdY2Hf
Source: the Alexandria database
Functional: GGA-PBE
Structure: relaxed

Values from the calculation:
- Fermi-level density of states: 5.788 states/eV/cell
- Calculated formation energy: 0.68 eV per formula unit

abc: 4.948 4.885 4.885
angles: 90.00 90.00 90.00
Atoms (fractional coordinates):
Y 0.000 0.500 0.000
Nd 0.500 0.000 0.000
Hf 0.500 0.500 0.500
Y 0.000 0.000 0.500

Compound: AlNF4
Source: the Alexandria database
Functional: GGA-PBE
Structure: relaxed

Values from the calculation:
- E_form (uncorrected): -1415.9 meV/atom
- Fermi-level density of states: 10.228 states/eV/cell

abc: 7.180 7.180 7.180
angles: 139.01 139.01 59.37
Atoms (fractional coordinates):
Al 0.500 0.500 0.000
F 0.302 0.802 0.104
F 0.145 0.145 0.000
F 0.645 0.645 0.000
F 0.355 0.355 0.000
N 0.250 0.750 0.500
F 0.698 0.198 0.896
F 0.198 0.302 0.500
F 0.855 0.855 0.000
F 0.802 0.698 0.500
Al 0.000 0.000 0.000
N 0.750 0.250 0.500

Compound: Na2TbGaGe2
Source: the Alexandria database
Functional: GGA-PBE
Structure: relaxed

Values from the calculation:
- Fermi-level density of states: 1.771 states/eV/cell
- Calculated formation energy: -2.41 eV per formula unit

abc: 4.273 7.280 8.816
angles: 90.00 90.00 90.00
Atoms (fractional coordinates):
Ge 0.500 0.776 0.613
Ge 0.000 0.249 0.823
Na 0.000 0.847 0.840
Na 0.000 0.347 0.160
Na 0.500 0.530 0.917
Ga 0.500 0.653 0.324
Ge 0.000 0.749 0.177
Tb 0.000 0.990 0.446
Tb 0.000 0.490 0.554
Na 0.500 0.030 0.083
Ge 0.500 0.276 0.387
Ga 0.500 0.153 0.676

Compound: Pm2NdYSe4
Source: the Alexandria database
Functional: GGA-PBE
Structure: relaxed

Values from the calculation:
- E_form (uncorrected): -1814.3 meV/atom
- Fermi-level density of states: 4.877 states/eV/cell

abc: 4.129 7.243 7.295
angles: 71.12 90.00 90.00
Atoms (fractional coordinates):
Se 0.000 0.748 0.744
Se 0.000 0.252 0.256
Se 0.500 0.744 0.258
Pm 0.500 0.000 0.500
Se 0.500 0.256 0.742
Pm 0.000 0.000 0.000
Y 0.000 0.500 0.500
Nd 0.500 0.500 0.000

Compound: LiReSb2
Source: the Alexandria database
Functional: GGA-PBE
Structure: relaxed

Values from the calculation:
- E_form (uncorrected): 354.0 meV/atom
- Fermi-level density of states: 3.368 states/eV/cell

abc: 3.227 3.227 9.000
angles: 90.00 90.00 118.99
Atoms (fractional coordinates):
Sb 0.000 0.000 0.989
Sb 0.000 0.000 0.511
Li 0.500 0.500 0.250
Re 0.500 0.500 0.750

Compound: Tb2S2F
Source: the Alexandria database
Functional: GGA-PBE
Structure: relaxed

Values from the calculation:
- E_form (uncorrected): -637.8 meV/atom
- Fermi-level density of states: 3.953 states/eV/cell

abc: 3.237 3.237 13.920
angles: 90.00 90.00 90.00
Atoms (fractional coordinates):
S 0.500 0.500 0.346
Tb 0.500 0.500 0.840
S 0.500 0.500 0.654
Tb 0.500 0.500 0.160
F 0.500 0.500 0.000

Compound: TaNbS2N
Source: the Alexandria database
Functional: GGA-PBE
Structure: relaxed

Values from the calculation:
- E_form (uncorrected): 431.9 meV/atom
- Fermi-level density of states: 5.335 states/eV/cell

abc: 4.880 4.880 3.825
angles: 90.00 90.00 90.00
Atoms (fractional coordinates):
N 0.000 0.000 0.500
S 0.000 0.500 0.000
S 0.500 0.000 0.000
Nb 0.000 0.000 0.000
Ta 0.500 0.500 0.500

Compound: TeHF6
Source: the Alexandria database
Functional: GGA-PBE
Structure: relaxed

Values from the calculation:
- Fermi-level density of states: 2.385 states/eV/cell
- Raw total energy: -31.8 eV per cell

abc: 5.174 5.174 5.078
angles: 82.04 82.04 120.09
Atoms (fractional coordinates):
F 0.240 0.543 0.280
F 0.104 0.104 0.767
F 0.896 0.896 0.233
F 0.457 0.760 0.720
F 0.543 0.240 0.280
F 0.760 0.457 0.720
Te 0.500 0.500 0.500
H 0.000 0.000 0.000

Compound: YMgFe3
Source: the Alexandria database
Functional: GGA-PBE
Structure: relaxed

Values from the calculation:
- Fermi-level density of states: 5.998 states/eV/cell
- Calculated formation energy: 5.00 eV per formula unit

abc: 4.563 4.563 4.563
angles: 90.00 90.00 90.00
Atoms (fractional coordinates):
Y 0.500 0.500 0.500
Mg 0.000 0.000 0.000
Fe 0.500 0.000 0.000
Fe 0.000 0.500 0.000
Fe 0.000 0.000 0.500

Compound: SmZn2GeRh2
Source: the Alexandria database
Functional: GGA-PBE
Structure: relaxed

Values from the calculation:
- Fermi-level density of states: 6.682 states/eV/cell
- Calculated formation energy: -1.66 eV per formula unit

abc: 4.584 4.584 5.651
angles: 90.00 90.00 90.00
Atoms (fractional coordinates):
Rh 0.500 0.000 0.000
Zn 0.500 0.500 0.736
Zn 0.500 0.500 0.264
Sm 0.000 0.000 0.500
Rh 0.000 0.500 0.000
Ge 0.000 0.000 0.000

Compound: ScBeMo2
Source: the Alexandria database
Functional: GGA-PBE
Structure: relaxed

Values from the calculation:
- Fermi-level density of states: 2.928 states/eV/cell
- Calculated formation energy: 1.01 eV per formula unit

abc: 4.617 2.779 4.989
angles: 81.96 90.00 90.00
Atoms (fractional coordinates):
Mo 0.000 0.565 0.497
Sc 0.500 0.250 0.250
Be 0.500 0.750 0.750
Mo 0.000 0.935 0.003

In μB/f.u., the total magnetic moment values for the records above are, in order, 0.43, 1.08, 0.00, 0.00, 4.54, 4.67, 0.00, 0.00, 1.77, 0.12, 0.00, 0.00, 2.00, 0.00, 0.00, 0.00, 0.00, 2.03, 0.88, 6.80, 0.51, 0.00.